The following is a DFT calculation (PBE) of an optimized crystal structure of TiGaNi2H.

extended XYZ file:
```
5
Lattice="3.743 0.000 0.000 0.000 3.743 0.000 0.000 0.000 3.895" Properties=species:S:1:pos:R:3 pbc="T T T"
Ti 0.000 0.000 0.000
Ga 1.871 1.871 0.000
Ni 0.000 1.871 1.948
Ni 1.871 0.000 1.948
H 0.000 0.000 1.948
```

Output
- total energy (eV/cell) = -27.34
- size of the total moment (μB/atom) = 0.17
- volume (Å³/atom) = 10.913

---

The following is a DFT calculation (PBE) of an optimized crystal structure of TmGaNi2H.

extended XYZ file:
```
10
Lattice="1.812 -5.134 0.000 1.812 5.134 0.000 0.000 0.000 7.017" Properties=species:S:1:pos:R:3 pbc="T T T"
Tm 1.812 4.587 5.263
Tm 1.812 -4.587 1.754
Ga 1.812 2.794 1.754
Ga 1.812 -2.794 5.263
Ni 1.812 1.587 3.896
Ni 1.812 1.587 6.630
Ni 1.812 -1.587 0.387
Ni 1.812 -1.587 3.121
H 1.812 0.000 0.000
H 1.812 0.000 3.508
```

Output
- total energy (eV/cell) = -50.29
- size of the total moment (μB/atom) = 0.00
- volume (Å³/atom) = 13.052

---

The following is a DFT calculation (PBE) of an optimized crystal structure of VGaNi2H.

extended XYZ file:
```
5
Lattice="3.706 0.000 0.000 0.000 3.706 0.000 0.000 0.000 3.793" Properties=species:S:1:pos:R:3 pbc="T T T"
V 0.000 0.000 0.000
Ga 1.853 1.853 0.000
Ni 0.000 1.853 1.896
Ni 1.853 0.000 1.896
H 0.000 0.000 1.896
```

Output
- total energy (eV/cell) = -27.96
- size of the total moment (μB/atom) = 0.47
- volume (Å³/atom) = 10.420

---

The following is a DFT calculation (PBE) of an optimized crystal structure of VGaNi2H.

extended XYZ file:
```
5
Lattice="4.546 0.000 0.000 0.000 4.546 0.000 0.000 0.000 3.035" Properties=species:S:1:pos:R:3 pbc="T T T"
V 0.000 0.000 0.000
Ga 2.273 2.273 1.517
Ni 0.000 2.273 1.517
Ni 2.273 0.000 1.517
H 2.273 2.273 0.000
```

Output
- total energy (eV/cell) = -23.50
- size of the total moment (μB/atom) = 0.00
- volume (Å³/atom) = 12.544

---

The following is a DFT calculation (PBE) of an optimized crystal structure of GaNi2HW.

extended XYZ file:
```
5
Lattice="3.666 0.000 0.000 0.000 3.666 0.000 0.000 0.000 4.061" Properties=species:S:1:pos:R:3 pbc="T T T"
Ga 0.000 0.000 0.000
Ni 0.000 1.833 2.030
Ni 1.833 0.000 2.030
H 1.833 1.833 2.030
W 1.833 1.833 0.000
```

Output
- total energy (eV/cell) = -30.76
- size of the total moment (μB/atom) = 0.00
- volume (Å³/atom) = 10.913

---

The following is a DFT calculation (PBE) of an optimized crystal structure of YGaNi2H.

extended XYZ file:
```
10
Lattice="1.850 -5.156 0.000 1.850 5.156 0.000 0.000 0.000 7.031" Properties=species:S:1:pos:R:3 pbc="T T T"
Y 1.850 4.562 5.274
Y 1.850 -4.562 1.758
Ga 1.850 2.844 1.758
Ga 1.850 -2.844 5.274
Ni 1.850 1.619 3.911
Ni 1.850 1.619 6.636
Ni 1.850 -1.619 0.395
Ni 1.850 -1.619 3.121
H 1.850 0.000 0.000
H 1.850 0.000 3.516
```

Output
- total energy (eV/cell) = -54.25
- size of the total moment (μB/atom) = 0.00
- volume (Å³/atom) = 13.416

---

The following is a DFT calculation (PBE) of an optimized crystal structure of Zr6Ga2NiH10.

extended XYZ file:
```
38
Lattice="8.022 0.000 0.000 -4.011 6.947 0.000 0.000 0.000 7.237" Properties=species:S:1:pos:R:3 pbc="T T T"
Zr -2.952 5.113 0.000
Zr -2.952 5.113 3.618
Zr -1.315 2.908 1.809
Zr 1.059 1.834 0.000
Zr 1.059 1.834 3.618
Zr -0.835 6.631 1.809
Zr 3.176 0.315 5.428
Zr 2.150 4.355 1.809
Zr 2.696 4.039 5.428
Zr 5.904 0.000 0.000
Zr 5.904 0.000 3.618
Zr 6.161 2.592 5.428
Ga 0.000 4.631 3.955
Ga 0.000 4.631 6.900
Ga 4.011 2.316 0.337
Ga 4.011 2.316 3.282
Ni 0.000 0.000 1.809
Ni 0.000 0.000 5.428
H 0.000 0.000 0.000
H 0.000 0.000 3.618
H -1.111 1.924 0.000
H -1.111 1.924 3.618
H -1.934 4.894 1.809
H -2.562 6.093 5.428
H 0.015 1.682 5.428
H 1.449 0.854 1.809
H 2.222 0.000 0.000
H 2.222 0.000 3.618
H 0.740 2.825 1.809
H 2.076 2.053 5.428
H 1.195 6.175 1.809
H 5.205 0.772 5.428
H 2.900 5.023 0.000
H 2.900 5.023 3.618
H 2.547 6.119 5.428
H 6.558 0.828 1.809
H 4.026 5.265 1.809
H 4.751 4.122 5.428
```

Output
- total energy (eV/cell) = -211.98
- size of the total moment (μB/atom) = 0.00
- volume (Å³/atom) = 10.613

---

The following is a DFT calculation (PBE) of an optimized crystal structure of Zr2GaNiH.

extended XYZ file:
```
5
Lattice="4.401 0.000 0.000 0.000 4.401 0.000 0.000 0.000 3.749" Properties=species:S:1:pos:R:3 pbc="T T T"
Zr 0.000 2.200 0.000
Zr 2.200 0.000 0.000
Ga 0.000 0.000 1.875
Ni 2.200 2.200 1.875
H 2.200 2.200 0.000
```

Output
- total energy (eV/cell) = -31.45
- size of the total moment (μB/atom) = 0.00
- volume (Å³/atom) = 14.521

---

The following is a DFT calculation (PBE) of an optimized crystal structure of NpGaH2.

extended XYZ file:
```
16
Lattice="4.119 0.000 0.000 0.000 11.308 0.000 0.000 0.000 4.048" Properties=species:S:1:pos:R:3 pbc="T T T"
Np 0.000 1.750 1.012
Np 0.000 9.559 3.036
Np 2.060 3.904 3.036
Np 2.060 7.404 1.012
Ga 0.000 4.878 1.012
Ga 0.000 6.430 3.036
Ga 2.060 0.776 3.036
Ga 2.060 10.533 1.012
H 0.000 0.591 3.036
H 0.000 2.843 3.036
H 0.000 8.465 1.012
H 0.000 10.717 1.012
H 2.060 2.811 1.012
H 2.060 5.063 1.012
H 2.060 6.246 3.036
H 2.060 8.498 3.036
```

Output
- total energy (eV/cell) = -94.25
- size of the total moment (μB/atom) = 0.96
- volume (Å³/atom) = 11.787

---

The following is a DFT calculation (PBE) of an optimized crystal structure of NpGaH2.

extended XYZ file:
```
12
Lattice="3.639 0.000 0.000 -1.819 3.151 0.000 0.000 0.000 13.859" Properties=species:S:1:pos:R:3 pbc="T T T"
Np 0.000 0.000 0.000
Np 0.000 2.101 9.240
Np 1.819 1.050 4.620
Ga 0.000 0.000 6.930
Ga 0.000 2.101 2.310
Ga 1.819 1.050 11.549
H 0.000 0.000 4.130
H 0.000 0.000 9.729
H 0.000 2.101 5.109
H 0.000 2.101 13.370
H 1.819 1.050 0.490
H 1.819 1.050 8.750
```

Output
- total energy (eV/cell) = -68.07
- size of the total moment (μB/atom) = 0.86
- volume (Å³/atom) = 13.243

---

The following is a DFT calculation (PBE) of an optimized crystal structure of NpGa3H.

extended XYZ file:
```
5
Lattice="4.343 0.000 0.000 0.000 4.343 0.000 0.000 0.000 4.343" Properties=species:S:1:pos:R:3 pbc="T T T"
Np 0.000 0.000 0.000
Ga 0.000 2.171 2.171
Ga 2.171 0.000 2.171
Ga 2.171 2.171 0.000
H 2.171 2.171 2.171
```

Output
- total energy (eV/cell) = -24.83
- size of the total moment (μB/atom) = 0.84
- volume (Å³/atom) = 16.378

---

The following is a DFT calculation (PBE) of an optimized crystal structure of NpGa2HRu2.

extended XYZ file:
```
6
Lattice="4.133 0.000 0.000 0.000 4.133 0.000 0.000 0.000 5.257" Properties=species:S:1:pos:R:3 pbc="T T T"
Np 0.000 0.000 0.000
Ga 2.067 2.067 1.204
Ga 2.067 2.067 4.053
H 0.000 0.000 2.628
Ru 0.000 2.067 2.628
Ru 2.067 0.000 2.628
```

Output
- total energy (eV/cell) = -41.91
- size of the total moment (μB/atom) = 0.53
- volume (Å³/atom) = 14.970